No. 1
# BaLaAl2Os PBE optimized geometry
data_BaLaAl2Os
_cell_length_a 5.0282
_cell_length_b 5.0282
_cell_length_c 5.4127
_cell_angle_alpha 90.00
_cell_angle_beta 90.00
_cell_angle_gamma 90.00
_symmetry_space_group_name_H-M 'P 4/m m m'
_symmetry_Int_Tables_number 123
_symmetry_space_group_name_Hall '-P 4 2'
loop_
_atom_site_label
_atom_site_type_symbol
_atom_site_fract_x
_atom_site_fract_y
_atom_site_fract_z
_atom_site_occupancy
Ba1 Ba 0.0000 0.0000 0.0000 1
La1 La 0.5000 0.5000 0.0000 1
Al1 Al 0.0000 0.5000 0.5000 1
Os1 Os 0.5000 0.5000 0.5000 1
# ΔH_f (0 K) (kJ/mol of formula units): -93.3



No. 2
# Ba2LaAl2P4 PBE optimized geometry
data_Ba2LaAl2P4
_cell_length_a 15.5997
_cell_length_b 4.1921
_cell_length_c 7.6291
_cell_angle_alpha 90.00
_cell_angle_beta 110.12
_cell_angle_gamma 90.00
_symmetry_space_group_name_H-M 'C 1 2/m 1'
_symmetry_Int_Tables_number 12
loop_
_symmetry_equiv_pos_as_xyz
'x,y,z'
'-x,-y,-z'
'-x,y,-z'
'x,-y,z'
'x+1/2,y+1/2,z'
'-x+1/2,-y+1/2,-z'
'-x+1/2,y+1/2,-z'
'x+1/2,-y+1/2,z'
loop_
_atom_site_label
_atom_site_type_symbol
_atom_site_fract_x
_atom_site_fract_y
_atom_site_fract_z
_atom_site_occupancy
Ba1 Ba 0.1292 0.0000 0.0528 1
La1 La 0.0000 0.0000 0.5000 1
Al1 Al 0.1751 0.5000 0.4822 1
P1 P 0.0287 0.5000 0.2498 1
P2 P 0.2097 0.0000 0.6698 1
# ΔH_f (0 K) (kJ/mol of formula units): -857.3



No. 3
# BaLa2AlRh PBE optimized geometry
data_BaLa2AlRh
_cell_length_a 5.6174
_cell_length_b 5.6174
_cell_length_c 5.1355
_cell_angle_alpha 90.00
_cell_angle_beta 90.00
_cell_angle_gamma 90.00
_symmetry_space_group_name_H-M 'P 4/m m m'
_symmetry_Int_Tables_number 123
_symmetry_space_group_name_Hall '-P 4 2'
loop_
_atom_site_label
_atom_site_type_symbol
_atom_site_fract_x
_atom_site_fract_y
_atom_site_fract_z
_atom_site_occupancy
Ba1 Ba 0.0000 0.0000 0.0000 1
La1 La 0.0000 0.5000 0.5000 1
Al1 Al 0.5000 0.5000 0.0000 1
Rh1 Rh 0.5000 0.5000 0.5000 1
# ΔH_f (0 K) (kJ/mol of formula units): -157.2
# Polymorph energy (0 for the lowest one) (meV/atom): 0.0



No. 4
# BaLa2AlRh PBE optimized geometry
data_BaLa2AlRh
_cell_length_a 5.9654
_cell_length_b 5.9654
_cell_length_c 4.6566
_cell_angle_alpha 90.00
_cell_angle_beta 90.00
_cell_angle_gamma 90.00
_symmetry_space_group_name_H-M 'P 4/m m m'
_symmetry_Int_Tables_number 123
_symmetry_space_group_name_Hall '-P 4 2'
loop_
_atom_site_label
_atom_site_type_symbol
_atom_site_fract_x
_atom_site_fract_y
_atom_site_fract_z
_atom_site_occupancy
Ba1 Ba 0.0000 0.0000 0.0000 1
La1 La 0.0000 0.5000 0.5000 1
Al1 Al 0.5000 0.5000 0.5000 1
Rh1 Rh 0.5000 0.5000 0.0000 1
# ΔH_f (0 K) (kJ/mol of formula units): 53.8
# Polymorph energy (0 for the lowest one) (meV/atom): 437.3



No. 5
# BaLaAl2Ru PBE optimized geometry
data_BaLaAl2Ru
_cell_length_a 5.0618
_cell_length_b 5.0618
_cell_length_c 5.2700
_cell_angle_alpha 90.00
_cell_angle_beta 90.00
_cell_angle_gamma 90.00
_symmetry_space_group_name_H-M 'P 4/m m m'
_symmetry_Int_Tables_number 123
_symmetry_space_group_name_Hall '-P 4 2'
loop_
_atom_site_label
_atom_site_type_symbol
_atom_site_fract_x
_atom_site_fract_y
_atom_site_fract_z
_atom_site_occupancy
Ba1 Ba 0.0000 0.0000 0.0000 1
La1 La 0.5000 0.5000 0.0000 1
Al1 Al 0.0000 0.5000 0.5000 1
Ru1 Ru 0.5000 0.5000 0.5000 1
# ΔH_f (0 K) (kJ/mol of formula units): -138.9



No. 6
# BaLaAlS4 PBE optimized geometry
data_BaLaAlS4
_cell_length_a 6.7227
_cell_length_b 6.7395
_cell_length_c 8.5907
_cell_angle_alpha 90.00
_cell_angle_beta 107.68
_cell_angle_gamma 90.00
_symmetry_space_group_name_H-M 'P 1 21/m 1'
_symmetry_Int_Tables_number 11
loop_
_symmetry_equiv_pos_as_xyz
'x,y,z'
'-x,-y,-z'
'-x,y+1/2,-z'
'x,-y+1/2,z'
loop_
_atom_site_label
_atom_site_type_symbol
_atom_site_fract_x
_atom_site_fract_y
_atom_site_fract_z
_atom_site_occupancy
Ba1 Ba 0.2333 0.2500 0.4326 1
La1 La 0.2749 0.2500 0.9473 1
Al1 Al 0.2718 0.7500 0.1841 1
S1 S 0.0757 0.7500 0.9222 1
S2 S 0.0767 0.7500 0.3544 1
S3 S 0.4993 0.0041 0.2310 1
# Raw formation energy (eV per atom): -1.84